(1)
This record from the Alexandria database describes an optimized crystal structure of MnOs2Pt. The functional is PBE.

Results
Volume (A^3/atom): 14.6
Energy of formation (eV per formula unit): 0.1
Total DFT energy (no corrections) (eV per cell): -37.582
D(E_F) (states/eV per atom): 1.092
Total magnetization (μB per formula unit): 3.6

a = 2.762 Å, b = 2.762 Å, c = 7.639 Å
α = 90.00°, β = 90.00°, γ = 90.00°
Site moments in Bohr magnetons follow the coordinates.
Positions (direct):
Pt: 0.000 0.000 0.505  0.10
Os: 0.500 0.500 0.236  0.05
Os: 0.000 0.000 0.005  -0.08
Mn: 0.500 0.500 0.754  3.39


(2)
This record from the Alexandria database describes an optimized crystal structure of Mn6OsPt. The functional is PBE.

Results
Volume (A^3/atom): 12.7
Energy of formation (eV per formula unit): -0.9
Total DFT energy (no corrections) (eV per cell): -73.205
D(E_F) (states/eV per atom): 0.858
Total magnetization (μB per formula unit): 2.7

a = 3.708 Å, b = 3.708 Å, c = 7.393 Å
α = 90.00°, β = 90.00°, γ = 90.00°
Site moments in Bohr magnetons follow the coordinates.
Positions (direct):
Pt: 0.000 0.000 0.000  -0.01
Mn: 0.500 0.500 0.500  2.54
Mn: 0.000 0.500 0.743  -2.08
Mn: 0.500 0.000 0.257  -2.08
Mn: 0.000 0.500 0.257  -2.08
Mn: 0.500 0.000 0.743  -2.08
Mn: 0.500 0.500 0.000  2.98
Os: 0.000 0.000 0.500  0.20